## LiInW (GGA-PBE)

Data for a relaxed structure of LiInW.

extended XYZ file:
```
3
Lattice="4.2494 0.0000 0.0000 2.1247 3.6800 0.0000 2.1247 1.2267 3.4696" Properties=species:S:1:pos:R:3 pbc="T T T"
In 4.2494 2.4534 1.7348
Li 6.3740 3.6800 2.6022
W 0.0000 0.0000 0.0000
```

Calculated values
Spin magnetization (μB/atom): 0.58
Calculated formation energy (eV per atom): 1.1901
Relative energy among the computed polymorphs (eV/atom): 0.772

=====

## Li4InW (GGA-PBE)

Data for a relaxed structure of Li4InW.

extended XYZ file:
```
6
Lattice="4.9742 -0.8663 0.8609 1.4416 -2.9809 3.9077 1.9879 -4.6319 -0.9100" Properties=species:S:1:pos:R:3 pbc="T T T"
Li 5.6207 -3.6206 1.8781
Li 4.1461 -5.4801 1.0036
Li 3.8763 -4.6648 3.3826
Li 3.1644 -3.1928 1.4530
In 0.0000 0.0000 0.0000
W 6.3028 -6.3593 2.8940
```

Calculated values
Spin magnetization (μB/atom): 0.49
Calculated formation energy (eV per atom): 0.4470

=====

## LiIn2W (GGA-PBE)

Data for a relaxed structure of LiIn2W.

extended XYZ file:
```
4
Lattice="-1.2355 -2.9741 -0.5539 3.0235 -1.1942 -0.3322 0.2076 -1.3259 6.6559" Properties=species:S:1:pos:R:3 pbc="T T T"
In 0.0023 -0.0150 0.0752
In 0.1014 -0.6479 3.2528
Li 0.9459 -2.4156 1.2209
W 1.0497 -3.0785 4.5489
```

Calculated values
Spin magnetization (μB/atom): 0.15
Calculated formation energy (eV per atom): 0.3279
Relative energy among the computed polymorphs (eV/atom): 0.091

=====

## LiIn2W (GGA-PBE)

Data for a relaxed structure of LiIn2W.

extended XYZ file:
```
8
Lattice="4.2413 0.0000 0.0000 0.0000 4.2413 0.0000 2.1207 2.1207 9.4486" Properties=species:S:1:pos:R:3 pbc="T T T"
Li 2.1207 2.1207 0.0000
Li 2.1207 4.2413 4.7243
W 0.0000 0.0000 0.0000
W 4.2413 2.1207 4.7243
In 3.2009 1.0603 2.3622
In 1.0404 3.1810 2.3622
In 3.1810 3.1611 7.0865
In 5.3016 5.3215 7.0865
```

Calculated values
Spin magnetization (μB/atom): 0.00
Calculated formation energy (eV per atom): 0.9014
Relative energy among the computed polymorphs (eV/atom): 0.664

=====

## LiIn2W (GGA-PBE)

Data for a relaxed structure of LiIn2W.

extended XYZ file:
```
4
Lattice="-0.1655 -2.3096 -1.7491 2.7434 -0.6890 0.6481 -2.9080 -5.0489 6.9423" Properties=species:S:1:pos:R:3 pbc="T T T"
In -2.9055 -5.0446 6.9363
In -1.4565 -2.5288 3.4772
Li 0.5619 -2.7615 1.1851
W -0.8921 -5.2860 4.6563
```

Calculated values
Spin magnetization (μB/atom): 0.00
Calculated formation energy (eV per atom): 0.2372
Relative energy among the computed polymorphs (eV/atom): 0.000

=====

## LiIn2W (GGA-PBE)

Data for a relaxed structure of LiIn2W.

extended XYZ file:
```
4
Lattice="-4.3037 3.2157 2.1941 -5.4765 -1.9188 0.0534 5.5294 -0.6267 1.6459" Properties=species:S:1:pos:R:3 pbc="T T T"
In -0.0732 0.0097 0.0168
In -1.7598 1.6091 2.4653
Li -4.8222 0.6394 1.1081
W -2.4856 -0.9397 1.4270
```

Calculated values
Spin magnetization (μB/atom): 0.00
Calculated formation energy (eV per atom): 0.3576
Relative energy among the computed polymorphs (eV/atom): 0.120

=====

## LiIn3W (GGA-PBE)

Data for a relaxed structure of LiIn3W.

extended XYZ file:
```
5
Lattice="5.3069 0.0000 0.0000 0.0000 5.3069 0.0000 0.0000 0.0000 5.3069" Properties=species:S:1:pos:R:3 pbc="T T T"
Li 2.6535 2.6535 2.6535
W 0.0000 0.0000 0.0000
In 0.0000 2.6535 0.0000
In 0.0000 0.0000 2.6535
In 2.6535 0.0000 0.0000
```

Calculated values
Spin magnetization (μB/atom): 0.00
Calculated formation energy (eV per atom): 0.5264
Relative energy among the computed polymorphs (eV/atom): 0.000

=====

## LiInW (GGA-PBE)

Data for a relaxed structure of LiInW.

extended XYZ file:
```
3
Lattice="7.1114 0.0247 0.0000 6.0032 3.8124 0.0000 -6.5573 -1.9186 1.9732" Properties=species:S:1:pos:R:3 pbc="T T T"
In 0.0084 0.0025 0.0000
Li 8.7664 2.5649 0.0000
W 4.3398 1.2698 0.0000
```

Calculated values
Spin magnetization (μB/atom): 0.00
Calculated formation energy (eV per atom): 0.4342
Relative energy among the computed polymorphs (eV/atom): 0.016

=====

## LiInW2 (GGA-PBE)

Data for a relaxed structure of LiInW2.

extended XYZ file:
```
4
Lattice="9.9475 -0.0166 -0.0097 9.5384 2.8236 -0.0097 9.5384 1.3741 2.4668" Properties=species:S:1:pos:R:3 pbc="T T T"
In 7.2561 1.0453 0.6118
Li 21.7682 3.1358 1.8355
W 0.0030 0.0004 0.0003
W 14.5092 2.0901 1.2234
```

Calculated values
Spin magnetization (μB/atom): 0.00
Calculated formation energy (eV per atom): 0.7293

=====

## LiInW (GGA-PBE)

Data for a relaxed structure of LiInW.

extended XYZ file:
```
3
Lattice="-1.5137 -0.4154 4.2727 0.4462 -3.9612 2.1976 2.9606 -0.3750 3.4371" Properties=species:S:1:pos:R:3 pbc="T T T"
In 0.0000 0.0000 0.0000
Li 0.9465 -2.3757 4.9537
W 1.4198 -3.5636 7.4305
```

Calculated values
Spin magnetization (μB/atom): 0.68
Calculated formation energy (eV per atom): 1.3595
Relative energy among the computed polymorphs (eV/atom): 0.941

=====

## LiIn2W (GGA-PBE)

Data for a relaxed structure of LiIn2W.

extended XYZ file:
```
4
Lattice="5.1379 -0.0165 0.0000 1.7254 4.8396 0.0000 -3.4317 -2.4116 2.9676" Properties=species:S:1:pos:R:3 pbc="T T T"
In 0.0000 0.0000 0.0000
In 3.4317 2.4116 0.0000
Li 0.8627 2.4198 1.4838
W 2.5690 -0.0082 1.4838
```

Calculated values
Spin magnetization (μB/atom): 0.25
Calculated formation energy (eV per atom): 0.4425
Relative energy among the computed polymorphs (eV/atom): 0.205

=====

## LiInW2 (GGA-PBE)

Data for a relaxed structure of LiInW2.

extended XYZ file:
```
4
Lattice="2.7463 0.1160 0.0000 -0.8407 2.6170 0.0000 0.0000 0.0000 9.4481" Properties=species:S:1:pos:R:3 pbc="T T T"
In 0.9528 1.3665 2.3620
Li 0.9528 1.3665 7.0861
W 0.0000 0.0000 9.4187
W 0.0000 0.0000 4.7534
```

Calculated values
Spin magnetization (μB/atom): 0.00
Calculated formation energy (eV per atom): 0.6962